No. 1
{
  "formula": "Rb2MgSnS4",
  "functional": "PBE",
  "state": "optimized geometry",
  "total_energy_ev_per_atom": -4.046,
  "lattice": [[-0.898, -1.809, -7.118], [-3.606, -6.139, 2.014], [-1.621, 6.225, 2.470]],
  "species": ["Mg", "S", "S", "Sn", "Rb", "S", "S", "Rb"],
  "frac_coords": [[0.986, 0.486, 0.972], [0.027, 0.111, 0.748], [0.361, 0.751, 0.196], [0.736, 0.736, 0.472], [0.486, 0.986, 0.972], [0.835, 0.445, 0.196], [0.721, 0.637, 0.748], [0.236, 0.236, 0.472]]
}

---

No. 2
{
  "formula": "LiBiRh2",
  "functional": "PBE",
  "state": "optimized geometry",
  "total_energy_ev_per_atom": -5.337,
  "de_polymorph_mev_per_atom": 78,
  "lattice": [[-0.796, 0.799, 3.464], [-3.716, -1.943, -0.406], [1.758, -3.622, 1.240]],
  "species": ["Li", "Rh", "Rh", "Bi"],
  "frac_coords": [[0.500, 0.000, 0.000], [0.000, 0.500, 0.000], [0.000, 0.000, 0.500], [0.500, 0.500, 0.500]]
}

---

No. 3
{
  "formula": "FeHgBr2",
  "functional": "PBE",
  "state": "optimized geometry",
  "total_energy_ev_per_atom": -2.851,
  "de_polymorph_mev_per_atom": 375,
  "lattice": [[-1.619, -1.986, -2.086], [2.333, 0.499, -2.286], [4.566, -7.011, 3.128]],
  "species": ["Br", "Fe", "Hg", "Br"],
  "frac_coords": [[0.500, 0.500, 0.336], [0.000, 0.000, 0.493], [0.500, 0.500, 0.717], [0.000, 0.000, 0.954]]
}